Arrangement 1

# Co3Rh2 SCAN single point on PBEsol structure
# **M_tot**: 1.34 μB per atom
data_Co3Rh2
_chemical_formula_sum 'Co9 Rh6'
_space_group_name_H-M_alt 'R -3 m'
_space_group_IT_number 166
_space_group_name_Hall '-R 3 2"'
_cell_length_a 2.5874
_cell_length_b 2.5874
_cell_length_c 30.5824
_cell_angle_alpha 90.00
_cell_angle_beta 90.00
_cell_angle_gamma 120.00
loop_
_atom_site_label
_atom_site_type_symbol
_atom_site_fract_x
_atom_site_fract_y
_atom_site_fract_z
_atom_site_occupancy
Co1 Co 0.0000 0.0000 0.0000 1
Co2 Co 0.0000 0.0000 0.2706 1
Rh1 Rh 0.0000 0.0000 0.1300 1

---

Arrangement 2

# Co3Rh2 SCAN single point on PBEsol structure
# **M_tot**: 1.48 μB per atom
data_Co3Rh2
_chemical_formula_sum 'Co6 Rh4'
_space_group_name_H-M_alt 'I 4/m m m'
_space_group_IT_number 139
_space_group_name_Hall '-I 4 2'
_cell_length_a 2.5821
_cell_length_b 2.5821
_cell_length_c 17.5066
_cell_angle_alpha 90.00
_cell_angle_beta 90.00
_cell_angle_gamma 90.00
loop_
_atom_site_label
_atom_site_type_symbol
_atom_site_fract_x
_atom_site_fract_y
_atom_site_fract_z
_atom_site_occupancy
Co1 Co 0.0000 0.0000 0.0000 1
Co2 Co 0.0000 0.0000 0.2052 1
Rh1 Rh 0.0000 0.0000 0.3989 1

---

Arrangement 3

# Co3Rh2 SCAN single point on PBEsol structure
# **M_tot**: 1.52 μB per atom
data_Co3Rh2
_chemical_formula_sum 'Co6 Rh4'
_space_group_name_H-M_alt 'I m m m'
_space_group_IT_number 71
_space_group_name_Hall '-I 2 2'
_cell_length_a 2.5863
_cell_length_b 3.5177
_cell_length_c 12.8773
_cell_angle_alpha 90.00
_cell_angle_beta 90.00
_cell_angle_gamma 90.00
loop_
_atom_site_label
_atom_site_type_symbol
_atom_site_fract_x
_atom_site_fract_y
_atom_site_fract_z
_atom_site_occupancy
Co1 Co 0.0000 0.0000 0.0000 1
Co2 Co 0.0000 0.0000 0.2032 1
Rh1 Rh 0.0000 0.0000 0.3977 1

---

Arrangement 4

# Co3Rh2 SCAN single point on PBEsol structure
# **M_tot**: 1.48 μB per atom
data_Co3Rh2
_chemical_formula_sum 'Co6 Rh4'
_space_group_name_H-M_alt 'C m m m'
_space_group_IT_number 65
_space_group_name_Hall '-C 2 2'
_cell_length_a 3.9082
_cell_length_b 11.8940
_cell_length_c 2.5563
_cell_angle_alpha 90.00
_cell_angle_beta 90.00
_cell_angle_gamma 90.00
loop_
_atom_site_label
_atom_site_type_symbol
_atom_site_fract_x
_atom_site_fract_y
_atom_site_fract_z
_atom_site_occupancy
Co1 Co 0.0000 0.0000 0.0000 1
Co2 Co 0.0000 0.2005 0.0000 1
Rh1 Rh 0.0000 0.3903 0.5000 1

---

We find arrangement 3 to be the most stable, with the next structure 0.005 eV/atom higher.

---

Arrangement 1

# CoRuRh2 SCAN single point on PBEsol structure
# **M_tot**: 0.48 μB per atom
data_CoRuRh2
_chemical_formula_sum 'Co1 Ru1 Rh2'
_space_group_name_H-M_alt 'P m m 2'
_space_group_IT_number 25
_space_group_name_Hall 'P 2 -2'
_cell_length_a 2.6312
_cell_length_b 3.6673
_cell_length_c 5.2438
_cell_angle_alpha 90.00
_cell_angle_beta 90.00
_cell_angle_gamma 90.00
loop_
_atom_site_label
_atom_site_type_symbol
_atom_site_fract_x
_atom_site_fract_y
_atom_site_fract_z
_atom_site_occupancy
Co1 Co 0.0000 0.0000 0.0000 1
Ru1 Ru 0.5000 0.5000 0.7618 1
Rh1 Rh 0.0000 0.0000 0.5102 1
Rh2 Rh 0.5000 0.5000 0.2416 1

---

Arrangement 2

# CoRuRh2 SCAN single point on PBEsol structure
# **M_tot**: 1.28 μB per atom
data_CoRuRh2
_chemical_formula_sum 'Co4 Ru4 Rh8'
_space_group_name_H-M_alt 'F m -3 m'
_space_group_IT_number 225
_space_group_name_Hall '-F 4 2 3'
_cell_length_a 5.9447
_cell_length_b 5.9447
_cell_length_c 5.9447
_cell_angle_alpha 90.00
_cell_angle_beta 90.00
_cell_angle_gamma 90.00
loop_
_atom_site_label
_atom_site_type_symbol
_atom_site_fract_x
_atom_site_fract_y
_atom_site_fract_z
_atom_site_occupancy
Co1 Co 0.0000 0.0000 0.0000 1
Ru1 Ru 0.0000 0.0000 0.5000 1
Rh1 Rh 0.2500 0.2500 0.2500 1

---

Arrangement 3

# CoRuRh2 SCAN single point on PBEsol structure
# **M_tot**: 0.62 μB per atom
data_CoRuRh2
_chemical_formula_sum 'Co2 Ru2 Rh4'
_space_group_name_H-M_alt 'C 1 m 1'
_space_group_IT_number 8
_space_group_name_Hall 'C -2y'
_cell_length_a 8.6669
_cell_length_b 2.6311
_cell_length_c 4.5267
_cell_angle_alpha 90.00
_cell_angle_beta 100.40
_cell_angle_gamma 90.00
loop_
_atom_site_label
_atom_site_type_symbol
_atom_site_fract_x
_atom_site_fract_y
_atom_site_fract_z
_atom_site_occupancy
Co1 Co 0.0000 0.0000 0.0000 1
Ru1 Ru 0.2455 0.5000 0.2487 1
Rh1 Rh 0.2528 0.0000 0.7620 1
Rh2 Rh 0.4975 0.0000 0.4912 1

---

We find arrangement 3 to be the most stable, with the next structure 0.010 eV/atom higher.

---

Arrangement 1

# CoRuRh2 SCAN single point on PBEsol structure
# **M_tot**: 1.02 μB per atom
data_CoRuRh2
_chemical_formula_sum 'Co1 Ru1 Rh2'
_space_group_name_H-M_alt 'P 4/m m m'
_space_group_IT_number 123
_space_group_name_Hall '-P 4 2'
_cell_length_a 4.4385
_cell_length_b 4.4385
_cell_length_c 2.6656
_cell_angle_alpha 90.00
_cell_angle_beta 90.00
_cell_angle_gamma 90.00
loop_
_atom_site_label
_atom_site_type_symbol
_atom_site_fract_x
_atom_site_fract_y
_atom_site_fract_z
_atom_site_occupancy
Co1 Co 0.0000 0.0000 0.0000 1
Ru1 Ru 0.5000 0.5000 0.0000 1
Rh1 Rh 0.0000 0.5000 0.5000 1

---

Arrangement 2

# CoRuRh2 SCAN single point on PBEsol structure
# **M_tot**: 0.58 μB per atom
data_CoRuRh2
_chemical_formula_sum 'Co2 Ru2 Rh4'
_space_group_name_H-M_alt 'I 4/m m m'
_space_group_IT_number 139
_space_group_name_Hall '-I 4 2'
_cell_length_a 3.6840
_cell_length_b 3.6840
_cell_length_c 7.4434
_cell_angle_alpha 90.00
_cell_angle_beta 90.00
_cell_angle_gamma 90.00
loop_
_atom_site_label
_atom_site_type_symbol
_atom_site_fract_x
_atom_site_fract_y
_atom_site_fract_z
_atom_site_occupancy
Co1 Co 0.0000 0.0000 0.0000 1
Ru1 Ru 0.0000 0.0000 0.5000 1
Rh1 Rh 0.0000 0.5000 0.2500 1

---

We find arrangement 2 to be the most stable, with the next structure 0.164 eV/atom higher.

---

Arrangement 1

# CoRu2Rh SCAN single point on PBEsol structure
# **M_tot**: 1.17 μB per atom
data_CoRu2Rh
_chemical_formula_sum 'Co2 Ru4 Rh2'
_space_group_name_H-M_alt 'C 1 2/m 1'
_space_group_IT_number 12
_space_group_name_Hall '-C 2y'
_cell_length_a 5.1565
_cell_length_b 8.8173
_cell_length_c 2.6025
_cell_angle_alpha 90.00
_cell_angle_beta 117.67
_cell_angle_gamma 90.00
loop_
_atom_site_label
_atom_site_type_symbol
_atom_site_fract_x
_atom_site_fract_y
_atom_site_fract_z
_atom_site_occupancy
Co1 Co 0.0000 0.0000 0.0000 1
Ru1 Ru 0.2500 0.2500 0.5000 1
Rh1 Rh 0.0000 0.5000 0.0000 1

---

Arrangement 2

# CoRu2Rh SCAN single point on PBEsol structure
# **M_tot**: 0.55 μB per atom
data_CoRu2Rh
_chemical_formula_sum 'Co2 Ru4 Rh2'
_space_group_name_H-M_alt 'I -4 m 2'
_space_group_IT_number 119
_space_group_name_Hall 'I -4 -2'
_cell_length_a 3.6879
_cell_length_b 3.6879
_cell_length_c 7.3774
_cell_angle_alpha 90.00
_cell_angle_beta 90.00
_cell_angle_gamma 90.00
loop_
_atom_site_label
_atom_site_type_symbol
_atom_site_fract_x
_atom_site_fract_y
_atom_site_fract_z
_atom_site_occupancy
Co1 Co 0.0000 0.0000 0.0000 1
Ru1 Ru 0.0000 0.0000 0.5000 1
Ru2 Ru 0.0000 0.5000 0.7500 1
Rh1 Rh 0.0000 0.5000 0.2500 1

---

We find arrangement 2 to be the most stable, with the next structure 0.173 eV/atom higher.

---

Arrangement 1

# ScCoRh SCAN single point on PBEsol structure
# **M_tot**: 0.64 μB per atom
data_ScCoRh
_chemical_formula_sum 'Sc2 Co2 Rh2'
_space_group_name_H-M_alt 'I 4 m m'
_space_group_IT_number 107
_space_group_name_Hall 'I 4 -2'
_cell_length_a 3.1061
_cell_length_b 3.1061
_cell_length_c 8.9803
_cell_angle_alpha 90.00
_cell_angle_beta 90.00
_cell_angle_gamma 90.00
loop_
_atom_site_label
_atom_site_type_symbol
_atom_site_fract_x
_atom_site_fract_y
_atom_site_fract_z
_atom_site_occupancy
Sc1 Sc 0.0000 0.0000 0.0000 1
Co1 Co 0.0000 0.0000 0.6713 1
Rh1 Rh 0.0000 0.0000 0.3235 1

---

Arrangement 2

# ScCoRh SCAN single point on PBEsol structure
# **M_tot**: 0.61 μB per atom
data_ScCoRh
_chemical_formula_sum 'Sc1 Co1 Rh1'
_space_group_name_H-M_alt 'P 3 m 1'
_space_group_IT_number 156
_space_group_name_Hall 'P 3 -2"'
_cell_length_a 2.8695
_cell_length_b 2.8695
_cell_length_c 6.1245
_cell_angle_alpha 90.00
_cell_angle_beta 90.00
_cell_angle_gamma 120.00
loop_
_atom_site_label
_atom_site_type_symbol
_atom_site_fract_x
_atom_site_fract_y
_atom_site_fract_z
_atom_site_occupancy
Sc1 Sc 0.0000 0.0000 0.0000 1
Co1 Co 0.6667 0.3333 0.6700 1
Rh1 Rh 0.3333 0.6667 0.3454 1

---

We find arrangement 1 to be the most stable, with the next structure 0.409 eV/atom higher.

---

Arrangement 1

# CoRhW2 SCAN single point on PBEsol structure
# **M_tot**: 0.00 μB per atom
data_CoRhW2
_chemical_formula_sum 'Co1 Rh1 W2'
_space_group_name_H-M_alt 'P m m m'
_space_group_IT_number 47
_space_group_name_Hall '-P 2 2'
_cell_length_a 2.6847
_cell_length_b 3.7819
_cell_length_c 5.3637
_cell_angle_alpha 90.00
_cell_angle_beta 90.00
_cell_angle_gamma 90.00
loop_
_atom_site_label
_atom_site_type_symbol
_atom_site_fract_x
_atom_site_fract_y
_atom_site_fract_z
_atom_site_occupancy
Co1 Co 0.0000 0.0000 0.0000 1
Rh1 Rh 0.0000 0.0000 0.5000 1
W1 W 0.5000 0.5000 0.2424 1

---

Arrangement 2

# CoRhW2 SCAN single point on PBEsol structure
# **M_tot**: 0.01 μB per atom
data_CoRhW2
_chemical_formula_sum 'Co1 Rh1 W2'
_space_group_name_H-M_alt 'P 4/m m m'
_space_group_IT_number 123
_space_group_name_Hall '-P 4 2'
_cell_length_a 2.6837
_cell_length_b 2.6837
_cell_length_c 7.5379
_cell_angle_alpha 90.00
_cell_angle_beta 90.00
_cell_angle_gamma 90.00
loop_
_atom_site_label
_atom_site_type_symbol
_atom_site_fract_x
_atom_site_fract_y
_atom_site_fract_z
_atom_site_occupancy
Co1 Co 0.0000 0.0000 0.0000 1
Rh1 Rh 0.0000 0.0000 0.5000 1
W1 W 0.5000 0.5000 0.2380 1

---

Arrangement 3

# CoRhW2 SCAN single point on PBEsol structure
# **M_tot**: 0.00 μB per atom
data_CoRhW2
_chemical_formula_sum 'Co2 Rh2 W4'
_space_group_name_H-M_alt 'C 1 m 1'
_space_group_IT_number 8
_space_group_name_Hall 'C -2y'
_cell_length_a 8.7759
_cell_length_b 2.7037
_cell_length_c 4.7127
_cell_angle_alpha 90.00
_cell_angle_beta 99.76
_cell_angle_gamma 90.00
loop_
_atom_site_label
_atom_site_type_symbol
_atom_site_fract_x
_atom_site_fract_y
_atom_site_fract_z
_atom_site_occupancy
Co1 Co 0.0000 0.0000 0.0000 1
Rh1 Rh 0.2528 0.0000 0.7202 1
W1 W 0.0019 0.5000 0.5025 1
W2 W 0.2410 0.5000 0.1931 1

---

We find arrangement 2 to be the most stable, with the next structure 0.009 eV/atom higher.